[1]
An optimized crystal structure of La2NiRh. Source: Alexandria via LeMat-Bulk, functional PBE.

a = 5.9948 Å, b = 4.1943 Å, c = 7.9512 Å
α = 90.00°, β = 109.48°, γ = 90.00°
Sites, in units of the cell vectors:
La  0.2276  0.2500  0.4313
La  0.2276  0.2500  0.9322
La  0.7724  0.7500  0.0678
La  0.7724  0.7500  0.5687
Ni  0.3417  0.7500  0.2086
Ni  0.6583  0.2500  0.7914
Rh  0.3286  0.7500  0.7097
Rh  0.6714  0.2500  0.2903

Calculated values
formation energy = -2.23 eV/f.u.
mass density = 7.742 g cm⁻³
uncorrected energy = -50.4 eV per cell

***

[2]
An optimized crystal structure of HW2I. Source: Alexandria via LeMat-Bulk, functional PBE.

a = 6.2788 Å, b = 6.2788 Å, c = 6.2788 Å
α = 132.56°, β = 132.56°, γ = 69.35°
Sites, in units of the cell vectors:
H  0.0000  0.0000  0.0000
H  0.7500  0.2500  0.5000
W  0.3750  0.2222  0.3472
W  0.7778  0.1250  0.1528
W  0.8750  0.0278  0.6528
W  0.9722  0.6250  0.8472
I  0.2500  0.7500  0.5000
I  0.5000  0.5000  0.0000

Calculated values
energy above the most stable polymorph in this dataset = 0.00 eV/f.u.
mass density = 12.489 g cm⁻³
uncorrected energy = -53.0 eV per cell